[1]
The following is a DFT calculation (GGA-PBEsol) of an optimized crystal structure of NaAgSbPb2.

Structure (CIF):
```
data_NaAgSbPb2
_chemical_formula_sum 'Na1 Ag1 Sb1 Pb2'
_cell_length_a 5.775
_cell_length_b 5.775
_cell_length_c 5.520
_cell_angle_alpha 90.00
_cell_angle_beta 90.00
_cell_angle_gamma 90.00
_symmetry_space_group_name_H-M 'P 4/m m m'
_symmetry_Int_Tables_number 123
_symmetry_space_group_name_Hall '-P 4 2'
loop_
_atom_site_label
_atom_site_fract_x
_atom_site_fract_y
_atom_site_fract_z
Na1 0.000 0.000 0.000
Ag1 0.500 0.500 0.000
Sb1 0.000 0.000 0.500
Pb1 0.000 0.500 0.500
```

Uncorrected formation energy (meV per atom): 615

---

[2]
The following is a DFT calculation (GGA-PBEsol) of an optimized crystal structure of Na2ZnAgPb.

Structure (CIF):
```
data_Na2ZnAgPb
_chemical_formula_sum 'Na2 Zn1 Ag1 Pb1'
_cell_length_a 5.252
_cell_length_b 5.252
_cell_length_c 4.794
_cell_angle_alpha 90.00
_cell_angle_beta 90.00
_cell_angle_gamma 90.00
_symmetry_space_group_name_H-M 'P 4/m m m'
_symmetry_Int_Tables_number 123
_symmetry_space_group_name_Hall '-P 4 2'
loop_
_atom_site_label
_atom_site_fract_x
_atom_site_fract_y
_atom_site_fract_z
Na1 0.000 0.500 0.000
Zn1 0.000 0.000 0.000
Ag1 0.000 0.000 0.500
Pb1 0.500 0.500 0.500
```

Energy of formation (kcal/mol of atoms): 6.66

---

[3]
The following is a DFT calculation (GGA-PBEsol) of an optimized crystal structure of NaAg2Pd2.

Structure (CIF):
```
data_NaAg2Pd2
_chemical_formula_sum 'Na2 Ag4 Pd4'
_cell_length_a 7.938
_cell_length_b 7.938
_cell_length_c 2.790
_cell_angle_alpha 90.00
_cell_angle_beta 90.00
_cell_angle_gamma 90.00
_symmetry_space_group_name_H-M 'P 4/m b m'
_symmetry_Int_Tables_number 127
_symmetry_space_group_name_Hall '-P 4 2ab'
loop_
_atom_site_label
_atom_site_fract_x
_atom_site_fract_y
_atom_site_fract_z
Na1 0.000 0.000 0.000
Ag1 0.128 0.372 0.000
Pd1 0.167 0.667 0.500
```

Energy of formation (kcal/mol of atoms): 0.10

---

[4]
The following is a DFT calculation (GGA-PBEsol) of an optimized crystal structure of Na2AgPdS.

Structure (CIF):
```
data_Na2AgPdS
_chemical_formula_sum 'Na2 Ag1 Pd1 S1'
_cell_length_a 5.041
_cell_length_b 5.041
_cell_length_c 4.997
_cell_angle_alpha 90.00
_cell_angle_beta 90.00
_cell_angle_gamma 90.00
_symmetry_space_group_name_H-M 'P 4/m m m'
_symmetry_Int_Tables_number 123
_symmetry_space_group_name_Hall '-P 4 2'
loop_
_atom_site_label
_atom_site_fract_x
_atom_site_fract_y
_atom_site_fract_z
Na1 0.000 0.500 0.000
Ag1 0.000 0.000 0.500
Pd1 0.000 0.000 0.000
S1 0.500 0.500 0.500
```

Uncorrected formation energy (meV per atom): 455

---

[5]
The following is a DFT calculation (GGA-PBEsol) of an optimized crystal structure of Na2TaAgPd.

Structure (CIF):
```
data_Na2TaAgPd
_chemical_formula_sum 'Na2 Ta1 Ag1 Pd1'
_cell_length_a 4.782
_cell_length_b 4.782
_cell_length_c 5.069
_cell_angle_alpha 90.00
_cell_angle_beta 90.00
_cell_angle_gamma 90.00
_symmetry_space_group_name_H-M 'P 4/m m m'
_symmetry_Int_Tables_number 123
_symmetry_space_group_name_Hall '-P 4 2'
loop_
_atom_site_label
_atom_site_fract_x
_atom_site_fract_y
_atom_site_fract_z
Na1 0.000 0.500 0.000
Ta1 0.000 0.000 0.500
Ag1 0.500 0.500 0.000
Pd1 0.500 0.500 0.500
```

Energy of formation (kcal/mol of atoms): 32.62

---

[6]
The following is a DFT calculation (GGA-PBEsol) of an optimized crystal structure of NaAg3Pt.

Structure (CIF):
```
data_NaAg3Pt
_chemical_formula_sum 'Na1 Ag3 Pt1'
_cell_length_a 5.055
_cell_length_b 5.055
_cell_length_c 5.055
_cell_angle_alpha 90.00
_cell_angle_beta 90.00
_cell_angle_gamma 90.00
_symmetry_space_group_name_H-M 'P m -3 m'
_symmetry_Int_Tables_number 221
_symmetry_space_group_name_Hall '-P 4 2 3'
loop_
_atom_site_label
_atom_site_fract_x
_atom_site_fract_y
_atom_site_fract_z
Na1 0.000 0.000 0.000
Ag1 0.000 0.500 0.500
Pt1 0.500 0.500 0.500
```

Energy of formation (kcal/mol of atoms): 12.17

---

| no. | calculated total energy (eV/cell) | calculated volume (A^3/atom) |
| --- | --- | --- |
| 1 | -14.19 | 36.82 |
| 2 | -10.25 | 26.45 |
| 3 | -39.84 | 17.58 |
| 4 | -14.18 | 25.40 |
| 5 | -17.55 | 23.18 |
| 6 | -15.66 | 25.83 |